## LiOs3Se (PBE)

Data for a relaxed LiOs3Se crystal.

Geometry as CIF:
```
data_LiOs3Se
_chemical_formula_sum 'Li1 Os3 Se1'
_cell_length_a 4.1815
_cell_length_b 4.1815
_cell_length_c 4.1815
_cell_angle_alpha 90.00
_cell_angle_beta 90.00
_cell_angle_gamma 90.00
_space_group_name_H-M_alt 'P 1'
_space_group_IT_number 1
loop_
_space_group_symop_operation_xyz
'x,y,z'
loop_
_atom_site_label
_atom_site_fract_x
_atom_site_fract_y
_atom_site_fract_z
Li1 0.0000 0.0000 0.0000
Os1 0.0000 0.0000 0.5000
Os2 0.0000 0.5000 0.0000
Os3 0.5000 0.0000 0.0000
Se1 0.5000 0.5000 0.5000
```

Properties
E_form (uncorrected) in eV/atom: 1.73



## LiOsSe2 (PBE)

Data for a relaxed LiOsSe2 crystal.

Geometry as CIF:
```
data_LiOsSe2
_chemical_formula_sum 'Li1 Os1 Se2'
_cell_length_a 3.0301
_cell_length_b 3.7805
_cell_length_c 6.1565
_cell_angle_alpha 90.00
_cell_angle_beta 90.00
_cell_angle_gamma 90.00
_space_group_name_H-M_alt 'P 1'
_space_group_IT_number 1
loop_
_space_group_symop_operation_xyz
'x,y,z'
loop_
_atom_site_label
_atom_site_fract_x
_atom_site_fract_y
_atom_site_fract_z
Li1 0.0000 0.0000 0.0000
Os1 0.5000 0.5000 0.2905
Se1 0.0000 0.0000 0.4324
Se2 0.5000 0.5000 0.8879
```

Properties
E_form (uncorrected) in eV/atom: -0.09



## LiOsSe2 (PBE)

Data for a relaxed LiOsSe2 crystal.

Geometry as CIF:
```
data_LiOsSe2
_chemical_formula_sum 'Li1 Os1 Se2'
_cell_length_a 2.8376
_cell_length_b 2.8376
_cell_length_c 9.9756
_cell_angle_alpha 90.00
_cell_angle_beta 90.00
_cell_angle_gamma 114.77
_space_group_name_H-M_alt 'P 1'
_space_group_IT_number 1
loop_
_space_group_symop_operation_xyz
'x,y,z'
loop_
_atom_site_label
_atom_site_fract_x
_atom_site_fract_y
_atom_site_fract_z
Li1 0.0000 0.0000 0.0000
Os1 0.5000 0.5000 0.7709
Se1 0.0000 0.0000 0.5739
Se2 0.5000 0.5000 0.2110
```

Properties
E_form (uncorrected) in eV/atom: 0.27